# KCrF3

A geometry-optimized KCrF3 structure (PBE with a Hubbard U, the Alexandria database).

a = 5.719 Å, b = 6.810 Å, c = 8.374 Å
α = 98.51°, β = 90.00°, γ = 90.00°
Each line ends with the local moment (μB).
Fractional positions:
F  0.578  0.816  0.455  0.00
F  0.803  0.365  0.396  0.00
F  0.078  0.184  0.045  0.00
F  0.922  0.816  0.955  0.00
F  0.422  0.184  0.545  0.00
F  0.978  0.045  0.673  0.03
F  0.522  0.045  0.173  0.03
F  0.303  0.635  0.104  0.00
F  0.478  0.955  0.827  0.03
F  0.197  0.635  0.604  0.00
F  0.697  0.365  0.896  0.00
F  0.022  0.955  0.327  0.03
K  0.255  0.383  0.326  0.00
K  0.245  0.383  0.826  0.00
K  0.755  0.617  0.174  0.00
K  0.745  0.617  0.674  0.00
Cr  0.228  0.914  0.073  3.81
Cr  0.272  0.914  0.573  3.81
Cr  0.728  0.086  0.427  3.81
Cr  0.772  0.086  0.927  3.81

Calculated values
- Space group: No. 14
- Size of the total moment: 4.00 μB per formula unit
- DFT total energy: -110.3 eV for the cell shown